Li2VSi4O11: relaxed, PBEsol.

It has space group C2/c (No. 15), with a = 10.600 Å, b = 9.607 Å, c = 8.068 Å, α = 90.00°, β = 101.32° and γ = 90.00°. The distinct sites, in fractional coordinates, are Li at (0.000, 0.072, 0.250), Li at (0.000, 0.343, 0.250), V at (0.250, 0.250, 0.500), Si at (0.044, 0.201, 0.940), Si at (0.208, 0.437, 0.844), O at (0.000, 0.132, 0.750), O at (0.062, 0.195, 0.442), O at (0.093, 0.359, 0.920), O at (0.155, 0.095, 0.030), O at (0.183, 0.398, 0.328) and O at (0.216, 0.363, 0.664).

The uncorrected energy comes out at -564.05 eV/cell. For the density, the calculation gives 2.9 g/cm3.